A relaxed CoMoBr2 crystal, computed with GGA-PBEsol.

Unit cell a=3.5240 b=3.5240 c=7.9456 alpha=77.19 beta=77.19 gamma=60.00
Site moments in Bohr magnetons follow the coordinates.
Positions (direct):
Mo 0.2280 0.2280 0.3159  0.74
Co 0.5148 0.5148 0.4555  0.11
Br 0.9725 0.9725 0.0824  0.00
Br 0.7846 0.7846 0.6462  0.06

Values from the calculation:
energy	-5.719	eV/atom
relative energy among the computed polymorphs	0	meV/atom
E_form (uncorrected)	92	meV/atom

***

A relaxed CoMoBr2 crystal, computed with GGA-PBEsol.

Unit cell a=3.0385 b=3.2390 c=8.1267 alpha=90.00 beta=90.00 gamma=117.97
Site moments in Bohr magnetons follow the coordinates.
Positions (direct):
Co 0.5000 0.0000 0.5000  1.64
Mo 0.5000 0.0000 0.0000  0.78
Br 0.0000 0.0000 0.2598  0.06
Br 0.0000 0.0000 0.7402  0.06

Values from the calculation:
energy	-4.984	eV/atom
relative energy among the computed polymorphs	734	meV/atom
E_form (uncorrected)	827	meV/atom

***

A relaxed Co2MoBr crystal, computed with GGA-PBEsol.

Unit cell a=2.9729 b=3.1246 c=6.5187 alpha=89.97 beta=90.00 gamma=90.00
Positions (direct):
Co 0.0000 0.4996 0.6912
Co 0.0000 0.5004 0.3088
Mo 0.5000 0.0000 0.5000
Br 0.5000 0.5000 0.0000

Values from the calculation:
energy	-6.837	eV/atom
relative energy among the computed polymorphs	0	meV/atom
E_form (uncorrected)	441	meV/atom

***

A relaxed CoMoSeBr2 crystal, computed with GGA-PBEsol.

Unit cell a=4.2381 b=5.5560 c=5.5560 alpha=90.00 beta=90.00 gamma=90.00
Site moments in Bohr magnetons follow the coordinates.
Positions (direct):
Mo 0.5000 0.5000 0.5000  4.13
Se 0.0000 0.0000 0.0000  0.01
Co 0.5000 0.0000 0.0000  1.44
Br 0.0000 0.0000 0.5000  0.02
Br 0.0000 0.5000 0.0000  0.02

Values from the calculation:
energy	-4.124	eV/atom
E_form (uncorrected)	1295	meV/atom

***

A relaxed CoBrN3 crystal, computed with GGA-PBEsol.

Unit cell a=3.8063 b=3.8063 c=3.8063 alpha=90.00 beta=90.00 gamma=90.00
Site moments in Bohr magnetons follow the coordinates.
Positions (direct):
N 0.0000 0.5000 0.0000  0.22
N 0.5000 0.0000 0.0000  0.22
N 0.0000 0.0000 0.5000  0.22
Co 0.5000 0.5000 0.5000  2.45
Br 0.0000 0.0000 0.0000  0.01

Values from the calculation:
energy	-4.301	eV/atom
E_form (uncorrected)	2736	meV/atom

***

A relaxed CoBr3N crystal, computed with GGA-PBEsol.

Unit cell a=4.8538 b=4.8538 c=4.8538 alpha=90.00 beta=90.00 gamma=90.00
Site moments in Bohr magnetons follow the coordinates.
Positions (direct):
Br 0.0000 0.5000 0.0000  0.17
Br 0.0000 0.0000 0.5000  0.17
Br 0.5000 0.0000 0.0000  0.17
N 0.5000 0.5000 0.5000  1.88
Co 0.0000 0.0000 0.0000  1.56

Values from the calculation:
energy	-3.302	eV/atom
E_form (uncorrected)	1072	meV/atom

***

A relaxed CoSeBrN2 crystal, computed with GGA-PBEsol.

Unit cell a=3.6390 b=3.6390 c=6.4936 alpha=90.00 beta=90.00 gamma=90.00
Site moments in Bohr magnetons follow the coordinates.
Positions (direct):
Co 0.5000 0.5000 0.5000  2.01
Br 0.0000 0.0000 0.0000  -0.02
Se 0.0000 0.0000 0.5000  0.13
N 0.0000 0.5000 0.0000  0.00
N 0.5000 0.0000 0.0000  0.00

Values from the calculation:
energy	-3.919	eV/atom
E_form (uncorrected)	2183	meV/atom

***

A relaxed NaCo2Br2 crystal, computed with GGA-PBEsol.

Unit cell a=4.6789 b=4.6789 c=5.4932 alpha=115.21 beta=115.21 gamma=90.00
Site moments in Bohr magnetons follow the coordinates.
Positions (direct):
Br 0.2500 0.7500 0.5000  0.12
Br 0.7500 0.2500 0.5000  0.12
Co 0.3747 0.3747 0.7495  1.90
Co 0.6253 0.6253 0.2505  1.90
Na 0.0000 0.0000 0.0000  -0.01

Values from the calculation:
energy	-3.919	eV/atom
E_form (uncorrected)	204	meV/atom

***

A relaxed NaCoBr2 crystal, computed with GGA-PBEsol.

Unit cell a=3.7567 b=3.7567 c=8.5310 alpha=77.28 beta=77.28 gamma=60.00
Site moments in Bohr magnetons follow the coordinates.
Positions (direct):
Br 0.8880 0.8880 0.3359  0.08
Br 0.1120 0.1120 0.6641  0.08
Co 0.5000 0.5000 0.5000  1.99
Na 0.0000 0.0000 0.0000  -0.01

Values from the calculation:
energy	-3.536	eV/atom
E_form (uncorrected)	-317	meV/atom

***

A relaxed CoNiBr crystal, computed with GGA-PBEsol.

Unit cell a=3.0959 b=3.0959 c=5.2772 alpha=90.00 beta=90.00 gamma=120.00
Site moments in Bohr magnetons follow the coordinates.
Positions (direct):
Co 0.3333 0.6667 0.6490  1.77
Br 0.0000 0.0000 0.9956  0.09
Ni 0.6667 0.3333 0.3554  0.60

Values from the calculation:
energy	-4.675	eV/atom
E_form (uncorrected)	580	meV/atom

***

A relaxed CoBrO3 crystal, computed with GGA-PBEsol.

Unit cell a=3.9162 b=3.9162 c=3.9162 alpha=90.00 beta=90.00 gamma=90.00
Site moments in Bohr magnetons follow the coordinates.
Positions (direct):
O 0.0000 0.0000 0.5000  0.05
O 0.0000 0.5000 0.0000  0.05
O 0.5000 0.0000 0.0000  0.05
Br 0.0000 0.0000 0.0000  0.01
Co 0.5000 0.5000 0.5000  2.40

Values from the calculation:
energy	-4.210	eV/atom
E_form (uncorrected)	861	meV/atom

***

A relaxed CoBr2O crystal, computed with GGA-PBEsol.

Unit cell a=4.4376 b=4.4376 c=4.4376 alpha=60.00 beta=60.00 gamma=60.00
Site moments in Bohr magnetons follow the coordinates.
Positions (direct):
Br 0.7500 0.7500 0.7500  0.32
Br 0.2500 0.2500 0.2500  0.32
O 0.0000 0.0000 0.0000  1.04
Co 0.5000 0.5000 0.5000  2.23

Values from the calculation:
energy	-3.382	eV/atom
E_form (uncorrected)	800	meV/atom

***

Question: Which of these has the highest energy?
Answer: CoBr3N

***

Question: Look up the E_form (uncorrected) of the twelfth one.
Answer: 800 meV/atom